No. 1
# RbAuC3 | the Alexandria database | GGA-PBE | relaxed
# * ΔH_f (0 K): 429 kJ/mol of atoms
# * ΔE to the lowest computed polymorph: 8.21 eV per formula unit
data_RbAuC3
_chemical_formula_sum 'Rb1 Au1 C3'
_cell_length_a 4.5153
_cell_length_b 4.5153
_cell_length_c 4.5153
_cell_angle_alpha 90.00
_cell_angle_beta 90.00
_cell_angle_gamma 90.00
_symmetry_space_group_name_H-M 'P 1'
_symmetry_Int_Tables_number 1
loop_
_symmetry_equiv_pos_as_xyz
'x,y,z'
loop_
_atom_site_label
_atom_site_type_symbol
_atom_site_fract_x
_atom_site_fract_y
_atom_site_fract_z
C1 C 0.0000 0.5000 0.0000
C2 C 0.0000 0.0000 0.5000
C3 C 0.5000 0.0000 0.0000
Au1 Au 0.5000 0.5000 0.5000
Rb1 Rb 0.0000 0.0000 0.0000

---

No. 2
# RbTlGaO4 | the Alexandria database | GGA-PBE | relaxed
# * ΔE_f (raw): -1.058 eV/atom
data_RbTlGaO4
_chemical_formula_sum 'Rb2 Tl2 Ga2 O8'
_cell_length_a 5.9467
_cell_length_b 5.8665
_cell_length_c 7.7555
_cell_angle_alpha 90.00
_cell_angle_beta 109.43
_cell_angle_gamma 90.00
_symmetry_space_group_name_H-M 'P 1'
_symmetry_Int_Tables_number 1
loop_
_symmetry_equiv_pos_as_xyz
'x,y,z'
loop_
_atom_site_label
_atom_site_type_symbol
_atom_site_fract_x
_atom_site_fract_y
_atom_site_fract_z
Rb1 Rb 0.7032 0.7500 0.9430
Rb2 Rb 0.2968 0.2500 0.0570
Tl1 Tl 0.8108 0.7500 0.4540
Tl2 Tl 0.1892 0.2500 0.5460
Ga1 Ga 0.2661 0.7500 0.3419
Ga2 Ga 0.7339 0.2500 0.6581
O1 O 0.9656 0.4779 0.6780
O2 O 0.0344 0.9779 0.3220
O3 O 0.0344 0.5221 0.3220
O4 O 0.9656 0.0221 0.6780
O5 O 0.4659 0.7500 0.2034
O6 O 0.5341 0.2500 0.7966
O7 O 0.5075 0.7500 0.5693
O8 O 0.4925 0.2500 0.4307

---

No. 3
# ZrOs2Pb | the Alexandria database | GGA-PBE | relaxed
# * ΔH_f (0 K): 59 kJ/mol of atoms
data_ZrOs2Pb
_chemical_formula_sum 'Zr1 Os2 Pb1'
_cell_length_a 4.6970
_cell_length_b 4.6970
_cell_length_c 4.6970
_cell_angle_alpha 60.00
_cell_angle_beta 60.00
_cell_angle_gamma 60.00
_symmetry_space_group_name_H-M 'P 1'
_symmetry_Int_Tables_number 1
loop_
_symmetry_equiv_pos_as_xyz
'x,y,z'
loop_
_atom_site_label
_atom_site_type_symbol
_atom_site_fract_x
_atom_site_fract_y
_atom_site_fract_z
Os1 Os 0.0000 0.0000 0.0000
Os2 Os 0.2500 0.2500 0.2500
Pb1 Pb 0.5000 0.5000 0.5000
Zr1 Zr 0.7500 0.7500 0.7500

---

No. 4
# Rb2CdBr | the Alexandria database | GGA-PBE | relaxed
# * ΔE to the lowest computed polymorph: 0.11 eV per formula unit
# * ΔE_f (raw): -0.765 eV/atom
data_Rb2CdBr
_chemical_formula_sum 'Rb2 Cd1 Br1'
_cell_length_a 4.7618
_cell_length_b 4.7618
_cell_length_c 10.2499
_cell_angle_alpha 76.57
_cell_angle_beta 76.57
_cell_angle_gamma 60.00
_symmetry_space_group_name_H-M 'P 1'
_symmetry_Int_Tables_number 1
loop_
_symmetry_equiv_pos_as_xyz
'x,y,z'
loop_
_atom_site_label
_atom_site_type_symbol
_atom_site_fract_x
_atom_site_fract_y
_atom_site_fract_z
Rb1 Rb 0.0720 0.0720 0.7841
Rb2 Rb 0.2616 0.2616 0.2152
Cd1 Cd 0.4998 0.4998 0.5007
Br1 Br 0.6667 0.6667 0.9999

---

No. 5
# LaMoSe2 | the Alexandria database | GGA-PBE | relaxed
# * ΔE to the lowest computed polymorph: 0.52 eV per formula unit
# * ΔE_f (raw): -0.747 eV/atom
data_LaMoSe2
_chemical_formula_sum 'La1 Mo1 Se2'
_cell_length_a 5.0957
_cell_length_b 5.0957
_cell_length_c 5.0957
_cell_angle_alpha 130.67
_cell_angle_beta 113.97
_cell_angle_gamma 86.68
_symmetry_space_group_name_H-M 'P 1'
_symmetry_Int_Tables_number 1
loop_
_symmetry_equiv_pos_as_xyz
'x,y,z'
loop_
_atom_site_label
_atom_site_type_symbol
_atom_site_fract_x
_atom_site_fract_y
_atom_site_fract_z
La1 La 0.7500 0.2500 0.5000
Mo1 Mo 0.2500 0.7500 0.5000
Se1 Se 0.0436 0.0436 0.0000
Se2 Se 0.4564 0.4564 0.0000

---

No. 6
# Pm3Tl3Hg2 | the Alexandria database | GGA-PBE | relaxed
# * ΔH_f (0 K): -35 kJ/mol of atoms
# * ΔE to the lowest computed polymorph: 0.00 eV per formula unit
data_Pm3Tl3Hg2
_chemical_formula_sum 'Pm3 Tl3 Hg2'
_cell_length_a 3.7317
_cell_length_b 8.3831
_cell_length_c 8.3831
_cell_angle_alpha 120.00
_cell_angle_beta 90.00
_cell_angle_gamma 90.00
_symmetry_space_group_name_H-M 'P 1'
_symmetry_Int_Tables_number 1
loop_
_symmetry_equiv_pos_as_xyz
'x,y,z'
loop_
_atom_site_label
_atom_site_type_symbol
_atom_site_fract_x
_atom_site_fract_y
_atom_site_fract_z
Pm1 Pm 0.5000 0.3836 0.3836
Pm2 Pm 0.5000 0.6164 0.0000
Pm3 Pm 0.5000 0.0000 0.6164
Tl1 Tl 0.0000 0.7604 0.7604
Tl2 Tl 0.0000 0.2396 0.0000
Tl3 Tl 0.0000 0.0000 0.2396
Hg1 Hg 0.0000 0.3333 0.6667
Hg2 Hg 0.0000 0.6667 0.3333

---

No. 7
# La8Ag2Ru | the Alexandria database | GGA-PBE | relaxed
# * ΔH_f (0 K): -14 kJ/mol of atoms
# * ΔE to the lowest computed polymorph: 0.00 eV per formula unit
data_La8Ag2Ru
_chemical_formula_sum 'La8 Ag2 Ru1'
_cell_length_a 5.0594
_cell_length_b 7.3687
_cell_length_c 9.6337
_cell_angle_alpha 92.57
_cell_angle_beta 105.22
_cell_angle_gamma 90.00
_symmetry_space_group_name_H-M 'P 1'
_symmetry_Int_Tables_number 1
loop_
_symmetry_equiv_pos_as_xyz
'x,y,z'
loop_
_atom_site_label
_atom_site_type_symbol
_atom_site_fract_x
_atom_site_fract_y
_atom_site_fract_z
La1 La 0.5899 0.4826 0.1798
La2 La 0.3559 0.9999 0.7118
La3 La 0.2131 0.3338 0.4263
La4 La 0.0050 0.7719 0.0099
La5 La 0.7869 0.6662 0.5737
La6 La 0.6441 0.0001 0.2882
La7 La 0.4101 0.5174 0.8202
La8 La 0.9950 0.2281 0.9901
Ag1 Ag 0.1831 0.7494 0.3662
Ag2 Ag 0.8169 0.2506 0.6338
Ru1 Ru 0.5000 0.0000 0.0000

---

No. 8
# Ca3AcIr | the Alexandria database | GGA-PBE | relaxed
# * ΔH_f (0 K): -7 kJ/mol of atoms
# * ΔE to the lowest computed polymorph: 1.07 eV per formula unit
data_Ca3AcIr
_chemical_formula_sum 'Ca3 Ac1 Ir1'
_cell_length_a 5.6158
_cell_length_b 5.6158
_cell_length_c 5.6158
_cell_angle_alpha 90.00
_cell_angle_beta 90.00
_cell_angle_gamma 90.00
_symmetry_space_group_name_H-M 'P 1'
_symmetry_Int_Tables_number 1
loop_
_symmetry_equiv_pos_as_xyz
'x,y,z'
loop_
_atom_site_label
_atom_site_type_symbol
_atom_site_fract_x
_atom_site_fract_y
_atom_site_fract_z
Ac1 Ac 0.5000 0.5000 0.5000
Ir1 Ir 0.0000 0.0000 0.0000
Ca1 Ca 0.0000 0.5000 0.0000
Ca2 Ca 0.0000 0.0000 0.5000
Ca3 Ca 0.5000 0.0000 0.0000

---

No. 9
# AlIrW2 | the Alexandria database | GGA-PBE | relaxed
# * ΔH_f (0 K): -20 kJ/mol of atoms
data_AlIrW2
_chemical_formula_sum 'Al1 Ir1 W2'
_cell_length_a 5.0758
_cell_length_b 5.0758
_cell_length_c 5.0758
_cell_angle_alpha 136.63
_cell_angle_beta 136.63
_cell_angle_gamma 63.01
_symmetry_space_group_name_H-M 'P 1'
_symmetry_Int_Tables_number 1
loop_
_symmetry_equiv_pos_as_xyz
'x,y,z'
loop_
_atom_site_label
_atom_site_type_symbol
_atom_site_fract_x
_atom_site_fract_y
_atom_site_fract_z
Ir1 Ir 0.7500 0.2500 0.5000
Al1 Al 0.2500 0.7500 0.5000
W1 W 0.0000 0.0000 0.0000
W2 W 0.5000 0.5000 0.0000

---

No. 10
# U2MnSb | the Alexandria database | GGA-PBE | relaxed
# * ΔE to the lowest computed polymorph: 1.05 eV per formula unit
# * ΔE_f (raw): 0.226 eV/atom
data_U2MnSb
_chemical_formula_sum 'U2 Mn1 Sb1'
_cell_length_a 3.0749
_cell_length_b 3.0749
_cell_length_c 9.8295
_cell_angle_alpha 81.00
_cell_angle_beta 81.00
_cell_angle_gamma 60.00
_symmetry_space_group_name_H-M 'P 1'
_symmetry_Int_Tables_number 1
loop_
_symmetry_equiv_pos_as_xyz
'x,y,z'
loop_
_atom_site_label
_atom_site_type_symbol
_atom_site_fract_x
_atom_site_fract_y
_atom_site_fract_z
Sb1 Sb 0.5000 0.5000 0.5000
Mn1 Mn 0.0000 0.0000 0.0000
U1 U 0.7376 0.7376 0.7872
U2 U 0.2624 0.2624 0.2128

---

No. 11
# Pm5Sn | the Alexandria database | GGA-PBE | relaxed
# * ΔH_f (0 K): -25 kJ/mol of atoms
# * ΔE to the lowest computed polymorph: 0.00 eV per formula unit
data_Pm5Sn
_chemical_formula_sum 'Pm5 Sn1'
_cell_length_a 4.9644
_cell_length_b 4.9242
_cell_length_c 8.1340
_cell_angle_alpha 107.62
_cell_angle_beta 90.00
_cell_angle_gamma 90.00
_symmetry_space_group_name_H-M 'P 1'
_symmetry_Int_Tables_number 1
loop_
_symmetry_equiv_pos_as_xyz
'x,y,z'
loop_
_atom_site_label
_atom_site_type_symbol
_atom_site_fract_x
_atom_site_fract_y
_atom_site_fract_z
Sn1 Sn 0.0000 0.0000 0.0000
Pm1 Pm 0.5000 0.8372 0.6743
Pm2 Pm 0.0000 0.6604 0.3207
Pm3 Pm 0.5000 0.5000 0.0000
Pm4 Pm 0.0000 0.3396 0.6793
Pm5 Pm 0.5000 0.1628 0.3257

---

No. 12
# Sr2TeMo | the Alexandria database | GGA-PBE | relaxed
# * ΔE_f (raw): 0.079 eV/atom
data_Sr2TeMo
_chemical_formula_sum 'Sr2 Te1 Mo1'
_cell_length_a 4.0647
_cell_length_b 4.0647
_cell_length_c 7.7644
_cell_angle_alpha 90.00
_cell_angle_beta 90.00
_cell_angle_gamma 90.00
_symmetry_space_group_name_H-M 'P 1'
_symmetry_Int_Tables_number 1
loop_
_symmetry_equiv_pos_as_xyz
'x,y,z'
loop_
_atom_site_label
_atom_site_type_symbol
_atom_site_fract_x
_atom_site_fract_y
_atom_site_fract_z
Mo1 Mo 0.5000 0.5000 0.7500
Sr1 Sr 0.0000 0.0000 0.0041
Sr2 Sr 0.0000 0.0000 0.4959
Te1 Te 0.5000 0.5000 0.2500

---

No. 13
# La2ZnAu2 | the Alexandria database | GGA-PBE | relaxed
# * ΔH_f (0 K): -67 kJ/mol of atoms
data_La2ZnAu2
_chemical_formula_sum 'La4 Zn2 Au4'
_cell_length_a 4.5324
_cell_length_b 6.0012
_cell_length_c 10.3209
_cell_angle_alpha 87.60
_cell_angle_beta 77.32
_cell_angle_gamma 67.81
_symmetry_space_group_name_H-M 'P 1'
_symmetry_Int_Tables_number 1
loop_
_symmetry_equiv_pos_as_xyz
'x,y,z'
loop_
_atom_site_label
_atom_site_type_symbol
_atom_site_fract_x
_atom_site_fract_y
_atom_site_fract_z
La1 La 0.6747 0.3057 0.3449
La2 La 0.9227 0.2658 0.8889
La3 La 0.3253 0.6943 0.6551
La4 La 0.0773 0.7342 0.1111
Zn1 Zn 0.6236 0.0978 0.6551
Zn2 Zn 0.3764 0.9022 0.3449
Au1 Au 0.0753 0.2772 0.5722
Au2 Au 0.6446 0.8299 0.8809
Au3 Au 0.9247 0.7228 0.4278
Au4 Au 0.3554 0.1701 0.1191

---

No. 14
# Sm4SiSe2Br | the Alexandria database | GGA-PBE | relaxed
# * ΔE_f (raw): -1.433 eV/atom
data_Sm4SiSe2Br
_chemical_formula_sum 'Sm4 Si1 Se2 Br1'
_cell_length_a 4.1864
_cell_length_b 7.2158
_cell_length_c 7.4252
_cell_angle_alpha 71.08
_cell_angle_beta 90.00
_cell_angle_gamma 90.00
_symmetry_space_group_name_H-M 'P 1'
_symmetry_Int_Tables_number 1
loop_
_symmetry_equiv_pos_as_xyz
'x,y,z'
loop_
_atom_site_label
_atom_site_type_symbol
_atom_site_fract_x
_atom_site_fract_y
_atom_site_fract_z
Sm1 Sm 0.0000 0.7603 0.7203
Sm2 Sm 0.0000 0.2397 0.2797
Sm3 Sm 0.5000 0.7427 0.2723
Sm4 Sm 0.5000 0.2573 0.7277
Si1 Si 0.0000 0.5000 0.5000
Se1 Se 0.0000 0.0000 0.0000
Se2 Se 0.5000 0.0000 0.5000
Br1 Br 0.5000 0.5000 0.0000

---

No. 15
# NbPdO2 | the Alexandria database | GGA-PBE | relaxed
# * ΔE to the lowest computed polymorph: 0.00 eV per formula unit
# * ΔE_f (raw): -1.446 eV/atom
data_NbPdO2
_chemical_formula_sum 'Nb1 Pd1 O2'
_cell_length_a 6.9439
_cell_length_b 6.9439
_cell_length_c 6.9439
_cell_angle_alpha 24.20
_cell_angle_beta 24.20
_cell_angle_gamma 24.20
_symmetry_space_group_name_H-M 'P 1'
_symmetry_Int_Tables_number 1
loop_
_symmetry_equiv_pos_as_xyz
'x,y,z'
loop_
_atom_site_label
_atom_site_type_symbol
_atom_site_fract_x
_atom_site_fract_y
_atom_site_fract_z
Nb1 Nb 0.5000 0.5000 0.5000
O1 O 0.8985 0.8985 0.8985
O2 O 0.1015 0.1015 0.1015
Pd1 Pd 0.0000 0.0000 0.0000

---

No. 16
# BaZnIr2 | the Alexandria database | GGA-PBE | relaxed
# * ΔH_f (0 K): 65 kJ/mol of atoms
data_BaZnIr2
_chemical_formula_sum 'Ba1 Zn1 Ir2'
_cell_length_a 5.2536
_cell_length_b 5.2536
_cell_length_c 3.0816
_cell_angle_alpha 90.00
_cell_angle_beta 90.00
_cell_angle_gamma 109.41
_symmetry_space_group_name_H-M 'P 1'
_symmetry_Int_Tables_number 1
loop_
_symmetry_equiv_pos_as_xyz
'x,y,z'
loop_
_atom_site_label
_atom_site_type_symbol
_atom_site_fract_x
_atom_site_fract_y
_atom_site_fract_z
Ba1 Ba 0.0000 0.5000 0.5000
Ir1 Ir 0.0000 0.0000 0.0000
Ir2 Ir 0.5000 0.5000 0.0000
Zn1 Zn 0.5000 0.0000 0.5000

---

No. 17
# ZrRu3C | the Alexandria database | GGA-PBE | relaxed
# * ΔH_f (0 K): 292 kJ/mol of atoms
# * ΔE to the lowest computed polymorph: 16.74 eV per formula unit
data_ZrRu3C
_chemical_formula_sum 'Zr1 Ru3 C1'
_cell_length_a 4.8093
_cell_length_b 4.8093
_cell_length_c 4.8093
_cell_angle_alpha 90.00
_cell_angle_beta 90.00
_cell_angle_gamma 90.00
_symmetry_space_group_name_H-M 'P 1'
_symmetry_Int_Tables_number 1
loop_
_symmetry_equiv_pos_as_xyz
'x,y,z'
loop_
_atom_site_label
_atom_site_type_symbol
_atom_site_fract_x
_atom_site_fract_y
_atom_site_fract_z
Ru1 Ru 0.0000 0.5000 0.0000
Ru2 Ru 0.0000 0.0000 0.5000
Ru3 Ru 0.5000 0.0000 0.0000
C1 C 0.5000 0.5000 0.5000
Zr1 Zr 0.0000 0.0000 0.0000

---

No. 18
# ZnHgRh3 | the Alexandria database | GGA-PBE | relaxed
# * ΔH_f (0 K): 86 kJ/mol of atoms
# * ΔE to the lowest computed polymorph: 0.00 eV per formula unit
data_ZnHgRh3
_chemical_formula_sum 'Zn1 Hg1 Rh3'
_cell_length_a 4.5745
_cell_length_b 4.5745
_cell_length_c 4.5745
_cell_angle_alpha 90.00
_cell_angle_beta 90.00
_cell_angle_gamma 90.00
_symmetry_space_group_name_H-M 'P 1'
_symmetry_Int_Tables_number 1
loop_
_symmetry_equiv_pos_as_xyz
'x,y,z'
loop_
_atom_site_label
_atom_site_type_symbol
_atom_site_fract_x
_atom_site_fract_y
_atom_site_fract_z
Zn1 Zn 0.0000 0.0000 0.0000
Rh1 Rh 0.0000 0.5000 0.0000
Rh2 Rh 0.0000 0.0000 0.5000
Rh3 Rh 0.5000 0.0000 0.0000
Hg1 Hg 0.5000 0.5000 0.5000

---

No. 19
# La2H3Se | the Alexandria database | GGA-PBE | relaxed
# * uncorrected energy: -29.66 eV per cell
data_La2H3Se
_chemical_formula_sum 'La2 H3 Se1'
_cell_length_a 4.0601
_cell_length_b 4.0601
_cell_length_c 6.9501
_cell_angle_alpha 90.00
_cell_angle_beta 90.00
_cell_angle_gamma 120.00
_symmetry_space_group_name_H-M 'P 1'
_symmetry_Int_Tables_number 1
loop_
_symmetry_equiv_pos_as_xyz
'x,y,z'
loop_
_atom_site_label
_atom_site_type_symbol
_atom_site_fract_x
_atom_site_fract_y
_atom_site_fract_z
La1 La 0.3333 0.6667 0.2737
La2 La 0.6667 0.3333 0.7263
H1 H 0.0000 0.0000 0.5000
H2 H 0.3333 0.6667 0.6301
H3 H 0.6667 0.3333 0.3699
Se1 Se 0.0000 0.0000 0.0000

---

No. 20
# K3PtW | the Alexandria database | GGA-PBE | relaxed
# * ΔH_f (0 K): 128 kJ/mol of atoms
# * ΔE to the lowest computed polymorph: 0.00 eV per formula unit
data_K3PtW
_chemical_formula_sum 'K3 Pt1 W1'
_cell_length_a 6.1032
_cell_length_b 6.1032
_cell_length_c 6.1032
_cell_angle_alpha 90.00
_cell_angle_beta 90.00
_cell_angle_gamma 90.00
_symmetry_space_group_name_H-M 'P 1'
_symmetry_Int_Tables_number 1
loop_
_symmetry_equiv_pos_as_xyz
'x,y,z'
loop_
_atom_site_label
_atom_site_type_symbol
_atom_site_fract_x
_atom_site_fract_y
_atom_site_fract_z
K1 K 0.0000 0.5000 0.0000
K2 K 0.0000 0.0000 0.5000
K3 K 0.5000 0.0000 0.0000
W1 W 0.5000 0.5000 0.5000
Pt1 Pt 0.0000 0.0000 0.0000